No. 1
First-principles (PBE) data for a relaxed structure of La2MgNi, as listed in the Alexandria database.

```
4
Lattice="1.9805 1.1434 8.8622 -1.9805 1.1434 8.8622 0.0000 -2.2869 8.8622" Properties=species:S:1:pos:R:3 pbc="T T T"
La 0.0000 0.0000 6.1052
La 0.0000 0.0000 20.4815
Mg 0.0000 0.0000 0.0000
Ni 0.0000 0.0000 13.2934
```

Output
**V**: 120.41 Å³/f.u.
**Energy of formation**: -0.097 eV/atom
**Spin magnetization**: 0.00 μB/f.u.

No. 2
First-principles (PBE) data for a relaxed structure of LaMg4Ni, as listed in the Alexandria database.

```
6
Lattice="0.0000 4.1129 4.1129 4.1129 0.0000 4.1129 4.1129 4.1129 0.0000" Properties=species:S:1:pos:R:3 pbc="T T T"
La 0.0000 0.0000 0.0000
Mg 5.1333 3.0926 3.0926
Mg 3.0926 5.1333 3.0926
Mg 3.0926 3.0926 5.1333
Mg 5.1333 5.1333 5.1333
Ni 2.0565 2.0565 2.0565
```

Output
**V**: 139.15 Å³/f.u.
**Energy of formation**: 0.183 eV/atom
**Energy above the lowest structure with this stoichiometry**: 346 meV per atom
**Spin magnetization**: 0.47 μB/f.u.

No. 3
First-principles (PBE) data for a relaxed structure of La2MgNi, as listed in the Alexandria database.

```
4
Lattice="3.7686 0.0000 0.0000 0.0000 2.1617 6.8473 0.0000 -2.1617 6.8473" Properties=species:S:1:pos:R:3 pbc="T T T"
La 0.0000 0.0000 0.0000
La 1.8843 0.0000 4.2375
Mg 0.0000 0.0000 9.3467
Ni 1.8843 0.0000 7.3142
```

Output
**V**: 111.56 Å³/f.u.
**Energy of formation**: -0.102 eV/atom
**Spin magnetization**: 0.00 μB/f.u.

No. 4
First-principles (PBE) data for a relaxed structure of La3MgNi3, as listed in the Alexandria database.

```
14
Lattice="2.0257 -5.3912 0.0000 2.0257 5.3912 0.0000 0.0000 0.0000 14.6042" Properties=species:S:1:pos:R:3 pbc="T T T"
La 2.0257 5.1161 10.9531
La 2.0257 2.1990 8.8688
La 2.0257 2.1990 13.0375
La 2.0257 -2.1990 1.5667
La 2.0257 -2.1990 5.7354
La 2.0257 -5.1161 3.6510
Mg 0.0000 0.0000 0.0000
Mg 0.0000 0.0000 7.3021
Ni 2.0257 2.5203 3.6510
Ni 2.0257 1.0530 1.4986
Ni 2.0257 1.0530 5.8035
Ni 2.0257 -1.0530 8.8007
Ni 2.0257 -1.0530 13.1056
Ni 2.0257 -2.5203 10.9531
```

Output
**V**: 159.49 Å³/f.u.
**Energy of formation**: -0.277 eV/atom
**Spin magnetization**: 0.00 μB/f.u.

No. 5
First-principles (PBE) data for a relaxed structure of LaMg3Ni, as listed in the Alexandria database.

```
5
Lattice="4.9013 0.0000 0.0000 0.0000 4.9013 0.0000 0.0000 0.0000 4.9013" Properties=species:S:1:pos:R:3 pbc="T T T"
La 0.0000 0.0000 0.0000
Mg 0.0000 2.4506 2.4506
Mg 2.4506 0.0000 2.4506
Mg 2.4506 2.4506 0.0000
Ni 2.4506 2.4506 2.4506
```

Output
**V**: 117.74 Å³/f.u.
**Energy of formation**: -0.104 eV/atom
**Energy above the lowest structure with this stoichiometry**: 71 meV per atom
**Spin magnetization**: 0.00 μB/f.u.

No. 6
First-principles (PBE) data for a relaxed structure of LaMgNi2, as listed in the Alexandria database.

```
4
Lattice="0.0000 3.3455 3.3455 3.3455 0.0000 3.3455 3.3455 3.3455 0.0000" Properties=species:S:1:pos:R:3 pbc="T T T"
La 0.0000 0.0000 0.0000
Mg 1.6727 1.6727 1.6727
Ni 3.3455 3.3455 3.3455
Ni 5.0182 5.0182 5.0182
```

Output
**V**: 74.89 Å³/f.u.
**Energy of formation**: 0.147 eV/atom
**Spin magnetization**: 0.00 μB/f.u.

No. 7
First-principles (PBE) data for a relaxed structure of LaMgNi2, as listed in the Alexandria database.

```
16
Lattice="7.6594 0.0000 0.0000 0.0000 4.0914 0.0000 0.0000 0.0000 10.0414" Properties=species:S:1:pos:R:3 pbc="T T T"
La 1.1275 1.0229 1.3751
La 2.7022 3.0686 6.3958
La 4.9572 1.0229 3.6456
La 6.5319 3.0686 8.6662
Mg 0.1160 3.0686 3.9576
Mg 3.7136 1.0229 8.9783
Mg 3.9457 3.0686 1.0631
Mg 7.5433 1.0229 6.0838
Ni 1.1578 1.0229 8.3747
Ni 1.8881 1.0229 4.2722
Ni 1.9415 3.0686 9.2929
Ni 2.6719 3.0686 3.3540
Ni 4.9875 1.0229 6.6873
Ni 5.7178 1.0229 0.7485
Ni 5.7712 3.0686 5.7692
Ni 6.5015 3.0686 1.6666
```

Output
**V**: 78.67 Å³/f.u.
**Energy of formation**: -0.276 eV/atom
**Spin magnetization**: 0.00 μB/f.u.

No. 8
First-principles (PBE) data for a relaxed structure of La2MgNi, as listed in the Alexandria database.

```
4
Lattice="0.0000 3.6101 3.6101 3.6101 0.0000 3.6101 3.6101 3.6101 0.0000" Properties=species:S:1:pos:R:3 pbc="T T T"
La 0.0000 0.0000 0.0000
La 1.8050 1.8050 1.8050
Mg 5.4151 5.4151 5.4151
Ni 3.6101 3.6101 3.6101
```

Output
**V**: 94.10 Å³/f.u.
**Energy of formation**: 0.019 eV/atom
**Spin magnetization**: 0.00 μB/f.u.

No. 9
First-principles (PBE) data for a relaxed structure of La6MgNi3, as listed in the Alexandria database.

```
20
Lattice="5.7215 -6.7335 0.0000 5.7215 6.7335 0.0000 0.0000 0.0000 7.2351" Properties=species:S:1:pos:R:3 pbc="T T T"
La 2.5796 2.6807 5.0179
La 5.7215 6.2132 3.6176
La 5.7215 3.6696 6.1564
La 3.8574 0.4685 0.3249
La 3.8574 -0.4685 3.9424
La 2.5796 -2.6807 1.4003
La 8.8634 2.6807 5.0179
La 7.5855 0.4685 0.3249
La 7.5855 -0.4685 3.9424
La 5.7215 -3.6696 2.5388
La 5.7215 -6.2132 0.0000
La 8.8634 -2.6807 1.4003
Mg 5.7215 2.2883 2.9044
Mg 5.7215 -2.2883 6.5219
Ni 2.0929 1.2659 2.3468
Ni 2.0929 -1.2659 5.9643
Ni 5.7215 1.1161 5.3630
Ni 5.7215 -1.1161 1.7455
Ni 9.3500 1.2659 2.3468
Ni 9.3500 -1.2659 5.9643
```

Output
**V**: 278.74 Å³/f.u.
**Energy of formation**: -0.188 eV/atom
**Spin magnetization**: 0.00 μB/f.u.

No. 10
First-principles (PBE) data for a relaxed structure of LaMg6Ni, as listed in the Alexandria database.

```
8
Lattice="4.4914 0.0000 0.0000 0.0000 3.0912 6.7805 0.0000 -3.0912 6.7805" Properties=species:S:1:pos:R:3 pbc="T T T"
La 0.0000 0.0000 0.0000
Mg 0.0000 0.0000 5.6621
Mg 0.0000 -1.5588 9.5717
Mg 0.0000 1.5588 9.5717
Mg 2.2457 -1.5856 4.5681
Mg 2.2457 0.0000 7.8931
Mg 2.2457 1.5856 4.5681
Ni 2.2457 0.0000 2.1473
```

Output
**V**: 188.28 Å³/f.u.
**Energy of formation**: 0.026 eV/atom
**Energy above the lowest structure with this stoichiometry**: 18 meV per atom
**Spin magnetization**: 0.00 μB/f.u.